Model A:
First-principles (PBE) data for crystalline CuReI2N at its relaxed geometry, as listed in Alexandria via LeMat-Bulk. Values from VASP.

Quantum ESPRESSO input file:
```
&SYSTEM
  ibrav = 0, nat = 5, ntyp = 4
/
ATOMIC_SPECIES
I 126.90 I.upf
N 14.01 N.upf
Cu 63.55 Cu.upf
Re 186.21 Re.upf
ATOMIC_POSITIONS angstrom
I 2.7761 0.0000 0.0000
I 0.0000 2.7761 0.0000
N 0.0000 0.0000 1.8815
Cu 2.7761 2.7761 1.8815
Re 0.0000 0.0000 0.0000
CELL_PARAMETERS angstrom
5.5523 0.0000 0.0000
0.0000 5.5523 0.0000
0.0000 0.0000 3.7630
```

=====

Model B:
First-principles (PBE) data for crystalline CuReI2N at its relaxed geometry, as listed in Alexandria via LeMat-Bulk. Values from VASP.

Quantum ESPRESSO input file:
```
&SYSTEM
  ibrav = 0, nat = 5, ntyp = 4
/
ATOMIC_SPECIES
Re 186.21 Re.upf
N 14.01 N.upf
Cu 63.55 Cu.upf
I 126.90 I.upf
ATOMIC_POSITIONS angstrom
Re 1.9480 -2.9950 2.1454
N 0.8866 0.5581 1.4027
Cu 0.0000 0.0000 0.0000
I 2.0724 -1.5394 -0.6975
I -1.0111 -2.0137 1.4402
CELL_PARAMETERS angstrom
-2.0221 -4.0273 2.8805
4.1449 -3.0789 -1.3950
1.7733 1.1162 2.8054
```

=====

Most stable = model A

=====

Model A:
First-principles (PBE) data for crystalline CuSIN2 at its relaxed geometry, as listed in Alexandria via LeMat-Bulk. Values from VASP.

Quantum ESPRESSO input file:
```
&SYSTEM
  ibrav = 0, nat = 5, ntyp = 4
/
ATOMIC_SPECIES
Cu 63.55 Cu.upf
I 126.90 I.upf
N 14.01 N.upf
S 32.06 S.upf
ATOMIC_POSITIONS angstrom
Cu 0.0000 0.0000 0.0000
I -3.2950 -0.5560 2.4133
N -0.1184 1.0400 1.6215
N -1.6863 0.7294 -0.5909
S -1.4904 -2.3254 1.3827
CELL_PARAMETERS angstrom
-0.2367 2.0800 3.2429
-3.3726 1.4588 -1.1818
-2.9807 -4.6508 2.7655
```

=====

Model B:
First-principles (PBE) data for crystalline CuSIN2 at its relaxed geometry, as listed in Alexandria via LeMat-Bulk. Values from VASP.

Quantum ESPRESSO input file:
```
&SYSTEM
  ibrav = 0, nat = 5, ntyp = 4
/
ATOMIC_SPECIES
I 126.90 I.upf
S 32.06 S.upf
Cu 63.55 Cu.upf
N 14.01 N.upf
ATOMIC_POSITIONS angstrom
I 0.0000 0.0000 3.7128
S 1.9092 1.9092 3.7128
Cu 0.0000 0.0000 0.0000
N 0.0000 1.9092 0.0000
N 1.9092 0.0000 0.0000
CELL_PARAMETERS angstrom
3.8183 0.0000 0.0000
0.0000 3.8183 0.0000
0.0000 0.0000 7.4257
```

=====

Model C:
First-principles (PBE) data for crystalline CuSIN2 at its relaxed geometry, as listed in Alexandria via LeMat-Bulk. Values from VASP.

Quantum ESPRESSO input file:
```
&SYSTEM
  ibrav = 0, nat = 5, ntyp = 4
/
ATOMIC_SPECIES
Cu 63.55 Cu.upf
N 14.01 N.upf
I 126.90 I.upf
S 32.06 S.upf
ATOMIC_POSITIONS angstrom
Cu 1.9338 1.9338 2.8496
N 1.9338 0.0000 0.0000
N 0.0000 1.9338 0.0000
I 0.0000 0.0000 0.0000
S 0.0000 0.0000 2.8496
CELL_PARAMETERS angstrom
3.8675 0.0000 0.0000
0.0000 3.8675 0.0000
0.0000 0.0000 5.6993
```

=====

Model D:
First-principles (PBE) data for crystalline CuSIN2 at its relaxed geometry, as listed in Alexandria via LeMat-Bulk. Values from VASP.

Quantum ESPRESSO input file:
```
&SYSTEM
  ibrav = 0, nat = 5, ntyp = 4
/
ATOMIC_SPECIES
N 14.01 N.upf
I 126.90 I.upf
Cu 63.55 Cu.upf
S 32.06 S.upf
ATOMIC_POSITIONS angstrom
N -0.7011 -1.6432 -0.0223
N 0.3112 -0.1566 1.7524
I -3.5071 1.4861 0.7556
Cu -3.8970 -0.3137 2.4857
S 0.0000 0.0000 0.0000
CELL_PARAMETERS angstrom
-1.4023 -3.2864 -0.0446
0.6224 -0.3132 3.5048
-7.0141 2.9723 1.5112
```

=====

Most stable = model D

=====

Model A:
First-principles (PBE) data for crystalline CuS2IN at its relaxed geometry, as listed in Alexandria via LeMat-Bulk. Values from VASP.

Quantum ESPRESSO input file:
```
&SYSTEM
  ibrav = 0, nat = 5, ntyp = 4
/
ATOMIC_SPECIES
S 32.06 S.upf
N 14.01 N.upf
I 126.90 I.upf
Cu 63.55 Cu.upf
ATOMIC_POSITIONS angstrom
S 0.0000 2.4341 0.0000
S 2.4341 0.0000 0.0000
N 0.0000 0.0000 1.8673
I 2.4341 2.4341 1.8673
Cu 0.0000 0.0000 0.0000
CELL_PARAMETERS angstrom
4.8681 0.0000 0.0000
0.0000 4.8681 0.0000
0.0000 0.0000 3.7346
```

=====

Model B:
First-principles (PBE) data for crystalline CuS2IN at its relaxed geometry, as listed in Alexandria via LeMat-Bulk. Values from VASP.

Quantum ESPRESSO input file:
```
&SYSTEM
  ibrav = 0, nat = 5, ntyp = 4
/
ATOMIC_SPECIES
I 126.90 I.upf
Cu 63.55 Cu.upf
S 32.06 S.upf
N 14.01 N.upf
ATOMIC_POSITIONS angstrom
I 0.0000 0.0000 0.0000
Cu 0.4031 -3.8881 1.3567
S -1.3365 -2.0865 -0.6979
S 2.1376 -1.4248 0.1662
N -0.3979 -0.3768 1.8885
CELL_PARAMETERS angstrom
-2.6731 -4.1730 -1.3958
4.2751 -2.8497 0.3323
-0.7959 -0.7535 3.7769
```

=====

Most stable = model A

=====

Model A:
First-principles (PBE) data for crystalline CuSeI2N at its relaxed geometry, as listed in Alexandria via LeMat-Bulk. Values from VASP.

Quantum ESPRESSO input file:
```
&SYSTEM
  ibrav = 0, nat = 5, ntyp = 4
/
ATOMIC_SPECIES
I 126.90 I.upf
N 14.01 N.upf
Se 78.96 Se.upf
Cu 63.55 Cu.upf
ATOMIC_POSITIONS angstrom
I 0.0000 2.9731 0.0000
I 2.9731 0.0000 0.0000
N 0.0000 0.0000 1.8418
Se 0.0000 0.0000 0.0000
Cu 2.9731 2.9731 1.8418
CELL_PARAMETERS angstrom
5.9462 0.0000 0.0000
0.0000 5.9462 0.0000
0.0000 0.0000 3.6836
```

=====

Model B:
First-principles (PBE) data for crystalline CuSeI2N at its relaxed geometry, as listed in Alexandria via LeMat-Bulk. Values from VASP.

Quantum ESPRESSO input file:
```
&SYSTEM
  ibrav = 0, nat = 5, ntyp = 4
/
ATOMIC_SPECIES
Cu 63.55 Cu.upf
I 126.90 I.upf
N 14.01 N.upf
Se 78.96 Se.upf
ATOMIC_POSITIONS angstrom
Cu 0.0000 0.0000 0.0000
I -1.6716 -0.2913 -2.2348
I -1.2854 -2.1623 1.2433
N -1.2144 1.1574 0.7575
Se -4.1713 -1.2962 -0.2340
CELL_PARAMETERS angstrom
-3.3432 -0.5826 -4.4696
-2.5707 -4.3246 2.4866
-2.4288 2.3149 1.5149
```

=====

Most stable = model B

=====

Model A:
First-principles (PBE) data for crystalline CuSe2IN at its relaxed geometry, as listed in Alexandria via LeMat-Bulk. Values from VASP.

Quantum ESPRESSO input file:
```
&SYSTEM
  ibrav = 0, nat = 5, ntyp = 4
/
ATOMIC_SPECIES
N 14.01 N.upf
Cu 63.55 Cu.upf
Se 78.96 Se.upf
I 126.90 I.upf
ATOMIC_POSITIONS angstrom
N 0.0000 0.0000 1.9576
Cu 2.7467 2.7467 1.9576
Se 2.7467 0.0000 0.0000
Se 0.0000 2.7467 0.0000
I 0.0000 0.0000 0.0000
CELL_PARAMETERS angstrom
5.4935 0.0000 0.0000
0.0000 5.4935 0.0000
0.0000 0.0000 3.9153
```

=====

Model B:
First-principles (PBE) data for crystalline CuSe2IN at its relaxed geometry, as listed in Alexandria via LeMat-Bulk. Values from VASP.

Quantum ESPRESSO input file:
```
&SYSTEM
  ibrav = 0, nat = 5, ntyp = 4
/
ATOMIC_SPECIES
Se 78.96 Se.upf
I 126.90 I.upf
N 14.01 N.upf
Cu 63.55 Cu.upf
ATOMIC_POSITIONS angstrom
Se -2.2469 -1.2451 -0.1195
Se 0.1017 -0.4267 2.5339
I -3.0477 -0.0723 2.7200
N -0.9026 1.5994 0.3055
Cu 0.0000 0.0000 0.0000
CELL_PARAMETERS angstrom
-4.4937 -2.4902 -0.2389
0.2034 -0.8533 5.0678
-1.8051 3.1989 0.6111
```

=====

Most stable = model B

=====

Model A:
First-principles (PBE) data for crystalline CuSiI2N at its relaxed geometry, as listed in Alexandria via LeMat-Bulk. Values from VASP.

Quantum ESPRESSO input file:
```
&SYSTEM
  ibrav = 0, nat = 5, ntyp = 4
/
ATOMIC_SPECIES
I 126.90 I.upf
Si 28.09 Si.upf
N 14.01 N.upf
Cu 63.55 Cu.upf
ATOMIC_POSITIONS angstrom
I -2.7940 -0.0277 0.6477
I -0.5711 1.4614 -2.4011
Si 0.0000 0.0000 0.0000
N 0.1778 1.4303 0.8282
Cu -3.1873 2.8640 -0.9252
CELL_PARAMETERS angstrom
-1.1421 2.9228 -4.8021
-5.5881 -0.0554 1.2953
0.3556 2.8605 1.6565
```

=====

Model B:
First-principles (PBE) data for crystalline CuSiI2N at its relaxed geometry, as listed in Alexandria via LeMat-Bulk. Values from VASP.

Quantum ESPRESSO input file:
```
&SYSTEM
  ibrav = 0, nat = 5, ntyp = 4
/
ATOMIC_SPECIES
Si 28.09 Si.upf
Cu 63.55 Cu.upf
N 14.01 N.upf
I 126.90 I.upf
ATOMIC_POSITIONS angstrom
Si 2.7925 2.7925 1.8473
Cu 0.0000 0.0000 0.0000
N 0.0000 0.0000 1.8473
I 0.0000 2.7925 0.0000
I 2.7925 0.0000 0.0000
CELL_PARAMETERS angstrom
5.5849 0.0000 0.0000
0.0000 5.5849 0.0000
0.0000 0.0000 3.6946
```

=====

Most stable = model A

=====

Model A:
First-principles (PBE) data for crystalline SrCuI2N at its relaxed geometry, as listed in Alexandria via LeMat-Bulk. Values from VASP.

Quantum ESPRESSO input file:
```
&SYSTEM
  ibrav = 0, nat = 5, ntyp = 4
/
ATOMIC_SPECIES
I 126.90 I.upf
Cu 63.55 Cu.upf
Sr 87.62 Sr.upf
N 14.01 N.upf
ATOMIC_POSITIONS angstrom
I 0.0000 2.9228 0.0000
I 2.9228 0.0000 0.0000
Cu 0.0000 0.0000 0.0000
Sr 2.9228 2.9228 1.9242
N 0.0000 0.0000 1.9242
CELL_PARAMETERS angstrom
5.8456 0.0000 0.0000
0.0000 5.8456 0.0000
0.0000 0.0000 3.8485
```

=====

Model B:
First-principles (PBE) data for crystalline SrCuI2N at its relaxed geometry, as listed in Alexandria via LeMat-Bulk. Values from VASP.

Quantum ESPRESSO input file:
```
&SYSTEM
  ibrav = 0, nat = 5, ntyp = 4
/
ATOMIC_SPECIES
I 126.90 I.upf
Cu 63.55 Cu.upf
N 14.01 N.upf
Sr 87.62 Sr.upf
ATOMIC_POSITIONS angstrom
I -1.5122 -2.7779 -0.4889
I 2.7901 -1.5546 0.2033
Cu 0.9559 -4.5893 2.1691
N -0.3219 -0.2568 2.4547
Sr 0.0000 0.0000 0.0000
CELL_PARAMETERS angstrom
-3.0244 -5.5558 -0.9779
5.5801 -3.1092 0.4065
-0.6438 -0.5136 4.9095
```

=====

Most stable = model A

=====

Model A:
First-principles (PBE) data for crystalline TaCuIN2 at its relaxed geometry, as listed in Alexandria via LeMat-Bulk. Values from VASP.

Quantum ESPRESSO input file:
```
&SYSTEM
  ibrav = 0, nat = 5, ntyp = 4
/
ATOMIC_SPECIES
N 14.01 N.upf
Ta 180.95 Ta.upf
Cu 63.55 Cu.upf
I 126.90 I.upf
ATOMIC_POSITIONS angstrom
N 0.6744 -0.3279 1.8470
N -1.8343 -0.5261 0.5763
Ta 0.0000 0.0000 0.0000
Cu -1.7497 1.9915 3.1438
I -0.5897 2.8455 0.7205
CELL_PARAMETERS angstrom
-3.6686 -1.0522 1.1527
1.3487 -0.6559 3.6940
-1.1794 5.6910 1.4410
```

=====

Model B:
First-principles (PBE) data for crystalline TaCuIN2 at its relaxed geometry, as listed in Alexandria via LeMat-Bulk. Values from VASP.

Quantum ESPRESSO input file:
```
&SYSTEM
  ibrav = 0, nat = 5, ntyp = 4
/
ATOMIC_SPECIES
N 14.01 N.upf
Cu 63.55 Cu.upf
Ta 180.95 Ta.upf
I 126.90 I.upf
ATOMIC_POSITIONS angstrom
N 1.9741 0.0000 0.0000
N 0.0000 1.9741 0.0000
Cu 0.0000 0.0000 0.0000
Ta 1.9741 1.9741 2.4604
I 0.0000 0.0000 2.4604
CELL_PARAMETERS angstrom
3.9483 0.0000 0.0000
0.0000 3.9483 0.0000
0.0000 0.0000 4.9209
```

=====

Most stable = model A